No. 1
DFT (GGA-PBE) results for RbTmBr3 after structural relaxation.

The structure in CIF format:
```
data_RbTmBr3
_cell_length_a 7.893
_cell_length_b 11.186
_cell_length_c 7.833
_cell_angle_alpha 90.00
_cell_angle_beta 90.00
_cell_angle_gamma 90.00
_symmetry_space_group_name_H-M 'P n m a'
_symmetry_Int_Tables_number 62
loop_
_symmetry_equiv_pos_as_xyz
'x,y,z'
'-x,-y,-z'
'-x+1/2,-y,z+1/2'
'x+1/2,y,-z+1/2'
'x+1/2,-y+1/2,-z+1/2'
'-x+1/2,y+1/2,z+1/2'
'-x,y+1/2,-z'
'x,-y+1/2,z'
loop_
_atom_site_label
_atom_site_type_symbol
_atom_site_fract_x
_atom_site_fract_y
_atom_site_fract_z
Rb1 Rb 0.013 0.250 0.003
Tm1 Tm 0.000 0.000 0.500
Br1 Br 0.001 0.750 0.486
Br2 Br 0.230 0.507 0.770
```

Properties
Uncorrected energy   -18.03 eV/f.u.
Crystal system   orthorhombic


No. 2
DFT (GGA-PBE) results for Rb5TmBr8 after structural relaxation.

The structure in CIF format:
```
data_Rb5TmBr8
_cell_length_a 10.048
_cell_length_b 10.048
_cell_length_c 10.210
_cell_angle_alpha 90.00
_cell_angle_beta 90.00
_cell_angle_gamma 90.00
_symmetry_space_group_name_H-M 'I -4'
_symmetry_Int_Tables_number 82
loop_
_symmetry_equiv_pos_as_xyz
'x,y,z'
'y,-x,-z'
'-x,-y,z'
'-y,x,-z'
'x+1/2,y+1/2,z+1/2'
'y+1/2,-x+1/2,-z+1/2'
'-x+1/2,-y+1/2,z+1/2'
'-y+1/2,x+1/2,-z+1/2'
loop_
_atom_site_label
_atom_site_type_symbol
_atom_site_fract_x
_atom_site_fract_y
_atom_site_fract_z
Rb1 Rb 0.000 0.000 0.000
Rb2 Rb 0.126 0.743 0.360
Tm1 Tm 0.000 0.500 0.750
Br1 Br 0.065 0.766 0.688
Br2 Br 0.067 0.667 0.023
```

Properties
Uncorrected energy   -46.82 eV/f.u.
Crystal system   tetragonal


No. 3
DFT (GGA-PBE) results for Rb2TmBr5 after structural relaxation.

The structure in CIF format:
```
data_Rb2TmBr5
_cell_length_a 13.853
_cell_length_b 9.192
_cell_length_c 8.833
_cell_angle_alpha 90.00
_cell_angle_beta 90.00
_cell_angle_gamma 90.00
_symmetry_space_group_name_H-M 'P n m a'
_symmetry_Int_Tables_number 62
loop_
_symmetry_equiv_pos_as_xyz
'x,y,z'
'-x,-y,-z'
'-x+1/2,-y,z+1/2'
'x+1/2,y,-z+1/2'
'x+1/2,-y+1/2,-z+1/2'
'-x+1/2,y+1/2,z+1/2'
'-x,y+1/2,-z'
'x,-y+1/2,z'
loop_
_atom_site_label
_atom_site_type_symbol
_atom_site_fract_x
_atom_site_fract_y
_atom_site_fract_z
Rb1 Rb 0.169 0.011 0.085
Tm1 Tm 0.005 0.250 0.571
Br1 Br 0.016 0.250 0.895
Br2 Br 0.057 0.548 0.665
Br3 Br 0.182 0.250 0.416
Br4 Br 0.192 0.750 0.365
```

Properties
Uncorrected energy   -29.33 eV/f.u.
Crystal system   orthorhombic


No. 4
DFT (GGA-PBE) results for RbTmBr4 after structural relaxation.

The structure in CIF format:
```
data_RbTmBr4
_cell_length_a 6.998
_cell_length_b 7.754
_cell_length_c 9.219
_cell_angle_alpha 75.78
_cell_angle_beta 67.91
_cell_angle_gamma 89.99
_symmetry_space_group_name_H-M 'P -1'
_symmetry_Int_Tables_number 2
loop_
_symmetry_equiv_pos_as_xyz
'x,y,z'
'-x,-y,-z'
loop_
_atom_site_label
_atom_site_type_symbol
_atom_site_fract_x
_atom_site_fract_y
_atom_site_fract_z
Rb1 Rb 0.205 0.251 0.497
Tm1 Tm 0.000 0.500 0.000
Tm2 Tm 0.500 0.000 0.000
Br1 Br 0.127 0.162 0.109
Br2 Br 0.265 0.662 0.109
Br3 Br 0.284 0.553 0.695
Br4 Br 0.482 0.947 0.305
```

Properties
Uncorrected energy   -22.97 eV/f.u.
Excess energy over the best structure of this formula in the dataset   0.041 eV per atom
Crystal system   triclinic


No. 5
DFT (GGA-PBE) results for RbTmBr4 after structural relaxation.

The structure in CIF format:
```
data_RbTmBr4
_cell_length_a 10.090
_cell_length_b 16.891
_cell_length_c 7.291
_cell_angle_alpha 90.00
_cell_angle_beta 105.75
_cell_angle_gamma 90.00
_symmetry_space_group_name_H-M 'C 1 2/c 1'
_symmetry_Int_Tables_number 15
loop_
_symmetry_equiv_pos_as_xyz
'x,y,z'
'-x,-y,-z'
'-x,y,-z+1/2'
'x,-y,z+1/2'
'x+1/2,y+1/2,z'
'-x+1/2,-y+1/2,-z'
'-x+1/2,y+1/2,-z+1/2'
'x+1/2,-y+1/2,z+1/2'
loop_
_atom_site_label
_atom_site_type_symbol
_atom_site_fract_x
_atom_site_fract_y
_atom_site_fract_z
Rb1 Rb 0.000 0.243 0.250
Tm1 Tm 0.000 0.065 0.750
Br1 Br 0.155 0.057 0.133
Br2 Br 0.178 0.175 0.694
```

Properties
Uncorrected energy   -23.21 eV/f.u.
Excess energy over the best structure of this formula in the dataset   0.000 eV per atom
Crystal system   monoclinic


No. 6
DFT (GGA-PBE) results for Rb4TmBr7 after structural relaxation.

The structure in CIF format:
```
data_Rb4TmBr7
_cell_length_a 17.399
_cell_length_b 5.571
_cell_length_c 11.624
_cell_angle_alpha 90.00
_cell_angle_beta 104.81
_cell_angle_gamma 90.00
_symmetry_space_group_name_H-M 'C 1 2/m 1'
_symmetry_Int_Tables_number 12
loop_
_symmetry_equiv_pos_as_xyz
'x,y,z'
'-x,-y,-z'
'-x,y,-z'
'x,-y,z'
'x+1/2,y+1/2,z'
'-x+1/2,-y+1/2,-z'
'-x+1/2,y+1/2,-z'
'x+1/2,-y+1/2,z'
loop_
_atom_site_label
_atom_site_type_symbol
_atom_site_fract_x
_atom_site_fract_y
_atom_site_fract_z
Rb1 Rb 0.012 0.000 0.203
Rb2 Rb 0.247 0.500 0.178
Tm1 Tm 0.000 0.500 0.500
Br1 Br 0.000 0.000 0.500
Br2 Br 0.112 0.500 0.370
Br3 Br 0.114 0.500 0.714
Br4 Br 0.146 0.000 0.039
```

Properties
Uncorrected energy   -41.42 eV/f.u.
Crystal system   monoclinic